Here is crystalline IrAuSeO at its relaxed geometry from OQMD. Energies are from PBE.

Summary:
The calculated volume is 63 Å³/f.u. The total magnetization comes out at 0.00 μB/f.u. The calculation puts the final energy at -0.1743 Ha/atom. The energy above the lowest structure with this stoichiometry is 0.520 eV/atom. Its crystal system is tetragonal.

a = 3.6608 Å, b = 3.6608 Å, c = 9.4758 Å
α = 90.00°, β = 90.00°, γ = 90.00°
With the nearest neighbours (Å) after each atom.
Fractional positions:
Au1 0.2500 0.7500 0.5000  4 Au 2.59
Au2 0.7500 0.2500 0.5000  4 Au 2.59
Ir1 0.7500 0.7500 0.8723  4 O 2.19
Ir2 0.2500 0.2500 0.1277  4 O 2.19
O1 0.7500 0.2500 0.0000  4 Ir 2.19
O2 0.2500 0.7500 0.0000  4 Ir 2.19
Se1 0.2500 0.2500 0.7476  4 Ir 2.85, 4 Au 2.98, 4 O 3.01
Se2 0.7500 0.7500 0.2524  4 Ir 2.85, 4 Au 2.98, 4 O 3.01


Here is crystalline IrAuSeO at its relaxed geometry from OQMD. Energies are from PBE.

Summary:
The calculated volume is 68 Å³/f.u. The total magnetization comes out at 0.00 μB/f.u. The calculation puts the final energy at -0.1935 Ha/atom. The energy above the lowest structure with this stoichiometry is 0.000 eV/atom. Its crystal system is monoclinic.

a = 6.6345 Å, b = 6.7268 Å, c = 6.1061 Å
α = 90.00°, β = 84.55°, γ = 90.00°
With the nearest neighbours (Å) after each atom.
Fractional positions:
Au1 0.0492 0.7123 0.9641  1 O 2.18
Au2 0.9508 0.2877 0.0359  1 O 2.18
Au3 0.0492 0.7877 0.4641  1 O 2.18
Au4 0.9508 0.2123 0.5359  1 O 2.18
O1 0.6326 0.3731 0.0818  3 Ir 2.08-2.21, 1 Au 2.18
O2 0.6326 0.1269 0.5818  3 Ir 2.08-2.21, 1 Au 2.18
O3 0.3674 0.8731 0.4182  3 Ir 2.08-2.21, 1 Au 2.18
O4 0.3674 0.6269 0.9182  3 Ir 2.08-2.21, 1 Au 2.18
Ir1 0.4930 0.3728 0.7677  3 O 2.08-2.21
Ir2 0.5070 0.6272 0.2323  3 O 2.08-2.21
Ir3 0.4930 0.1272 0.2677  3 O 2.08-2.21
Ir4 0.5070 0.8728 0.7323  3 O 2.08-2.21
Se1 0.7142 0.8729 0.0355  3 Ir 2.40-2.59, 1 Au 2.47
Se2 0.2858 0.1271 0.9645  3 Ir 2.40-2.59, 1 Au 2.47
Se3 0.2858 0.3729 0.4645  3 Ir 2.40-2.59, 1 Au 2.47
Se4 0.7142 0.6271 0.5355  3 Ir 2.40-2.59, 1 Au 2.47


Here is crystalline IrAuSeO at its relaxed geometry from OQMD. Energies are from PBE.

Summary:
The calculated volume is 71 Å³/f.u. The total magnetization comes out at 0.00 μB/f.u. The calculation puts the final energy at -0.1860 Ha/atom. The energy above the lowest structure with this stoichiometry is 0.204 eV/atom. Its crystal system is orthorhombic.

a = 3.2260 Å, b = 7.4608 Å, c = 5.8980 Å
α = 90.00°, β = 90.00°, γ = 90.00°
With the nearest neighbours (Å) after each atom.
Fractional positions:
Ir1 0.5000 0.1646 0.4756  2 O 1.96-2.00
Ir2 0.5000 0.8354 0.9756  2 O 1.96-2.00
Se1 0.0000 0.6724 0.1993  2 Ir 2.41, 2 Au 2.55-2.60
Se2 0.0000 0.3276 0.6993  2 Ir 2.41, 2 Au 2.55-2.60
Au1 0.0000 0.3338 0.1399  2 Se 2.55-2.60, 2 O 2.66, 2 Ir 2.85
Au2 0.0000 0.6662 0.6399  2 Se 2.55-2.60, 2 O 2.66, 2 Ir 2.85
O1 0.5000 0.9481 0.6762  2 Ir 1.96-2.00
O2 0.5000 0.0519 0.1762  2 Ir 1.96-2.00


Here is crystalline TeIrAuO at its relaxed geometry from OQMD. Energies are from PBE.

Summary:
The calculated volume is 73 Å³/f.u. The total magnetization comes out at 0.00 μB/f.u. The calculation puts the final energy at -0.1842 Ha/atom. The energy above the lowest structure with this stoichiometry is 0.000 eV/atom. Its crystal system is orthorhombic.

a = 3.3722 Å, b = 8.2554 Å, c = 5.2599 Å
α = 90.00°, β = 90.00°, γ = 90.00°
With the nearest neighbours (Å) after each atom.
Fractional positions:
Au1 0.0000 0.4212 0.2743  2 Te 2.75-2.89, 2 Ir 2.88, 2 Au 2.93
Au2 0.0000 0.5788 0.7743  2 Te 2.75-2.89, 2 Ir 2.88, 2 Au 2.93
Te1 0.0000 0.7535 0.2503  2 Ir 2.57, 2 O 2.71, 1 Au 2.75
Te2 0.0000 0.2465 0.7503  2 Ir 2.57, 2 O 2.71, 1 Au 2.75
O1 0.5000 0.0768 0.0534  2 Ir 1.99-2.04
O2 0.5000 0.9232 0.5534  2 Ir 1.99-2.04
Ir1 0.5000 0.1531 0.4131  2 O 1.99-2.04
Ir2 0.5000 0.8469 0.9131  2 O 1.99-2.04


Here is crystalline TeIrAuO at its relaxed geometry from OQMD. Energies are from PBE.

Summary:
The calculated volume is 69 Å³/f.u. The total magnetization comes out at 0.02 μB/f.u. The calculation puts the final energy at -0.1752 Ha/atom. The energy above the lowest structure with this stoichiometry is 0.247 eV/atom. Its crystal system is tetragonal.

a = 3.7055 Å, b = 3.7055 Å, c = 10.0695 Å
α = 90.00°, β = 90.00°, γ = 90.00°
With the nearest neighbours (Å) after each atom.
Fractional positions:
O1 0.7500 0.2500 0.0000  4 Ir 2.22
O2 0.2500 0.7500 0.0000  4 Ir 2.22
Te1 0.7500 0.7500 0.2463  4 Ir 2.90, 4 O 3.10, 4 Au 3.16
Te2 0.2500 0.2500 0.7537  4 Ir 2.90, 4 O 3.10, 4 Au 3.16
Au1 0.2500 0.7500 0.5000  4 Au 2.62
Au2 0.7500 0.2500 0.5000  4 Au 2.62
Ir1 0.7500 0.7500 0.8780  4 O 2.22
Ir2 0.2500 0.2500 0.1220  4 O 2.22


Here is crystalline TlIrAuO3 at its relaxed geometry from OQMD. Energies are from PBE.

Summary:
The calculated volume is 95 Å³/f.u. The total magnetization comes out at 0.61 μB/f.u. The calculation puts the final energy at -0.1967 Ha/atom. Its crystal system is orthorhombic.

a = 10.7272 Å, b = 3.2049 Å, c = 11.1059 Å
α = 90.00°, β = 90.00°, γ = 90.00°
With the nearest neighbours (Å) after each atom.
Fractional positions:
O1 0.2803 0.5000 0.9313  1 Ir 1.98, 2 Au 2.17
O2 0.3316 0.0000 0.6261  2 Ir 2.01
O3 0.9416 0.5000 0.0756  3 Ir 2.04-2.08
O4 0.8316 0.5000 0.8739  2 Ir 2.01
O5 0.4416 0.0000 0.4244  3 Ir 2.04-2.08
O6 0.6684 0.5000 0.3739  2 Ir 2.01
O7 0.5584 0.5000 0.5756  3 Ir 2.04-2.08
O8 0.7197 0.0000 0.0687  1 Ir 1.98, 2 Au 2.17
O9 0.7803 0.0000 0.5687  1 Ir 1.98, 2 Au 2.17
O10 0.1684 0.0000 0.1261  2 Ir 2.01
O11 0.2197 0.5000 0.4313  1 Ir 1.98, 2 Au 2.17
O12 0.0584 0.0000 0.9244  3 Ir 2.04-2.08
Ir1 0.6242 0.0000 0.4741  6 O 1.98-2.08
Ir2 0.3758 0.5000 0.5259  6 O 1.98-2.08
Ir3 0.8758 0.0000 0.9741  6 O 1.98-2.08
Ir4 0.1242 0.5000 0.0259  6 O 1.98-2.08
Au1 0.4118 0.0000 0.9686  2 O 2.17
Au2 0.9118 0.5000 0.5314  2 O 2.17
Au3 0.0882 0.0000 0.4686  2 O 2.17
Au4 0.5882 0.5000 0.0314  2 O 2.17
Tl1 0.6437 0.0000 0.7706  5 O 2.68-2.85
Tl2 0.8563 0.0000 0.2706  5 O 2.68-2.85
Tl3 0.3563 0.5000 0.2294  5 O 2.68-2.85
Tl4 0.1437 0.5000 0.7294  5 O 2.68-2.85


Here is crystalline PIr3Au at its relaxed geometry from OQMD. Energies are from PBE.

Summary:
The calculated volume is 86 Å³/f.u. The total magnetization comes out at 0.03 μB/f.u. The calculation puts the final energy at -0.2375 Ha/atom. Its crystal system is cubic.

a = 4.4075 Å, b = 4.4075 Å, c = 4.4075 Å
α = 90.00°, β = 90.00°, γ = 90.00°
With the nearest neighbours (Å) after each atom.
Fractional positions:
Ir1 0.0000 0.5000 0.5000  2 P 2.20
Ir2 0.5000 0.0000 0.5000  2 P 2.20
Ir3 0.5000 0.5000 0.0000  2 P 2.20
P1 0.5000 0.5000 0.5000  6 Ir 2.20
Au1 0.0000 0.0000 0.0000  12 Ir 3.12


Here is crystalline IrPbAu2 at its relaxed geometry from OQMD. Energies are from PBE.

Summary:
The calculated volume is 75 Å³/f.u. The total magnetization comes out at 0.00 μB/f.u. The calculation puts the final energy at -0.1617 Ha/atom. Its crystal system is cubic.

a = 4.7430 Å, b = 4.7430 Å, c = 4.7430 Å
α = 60.00°, β = 60.00°, γ = 60.00°
With the nearest neighbours (Å) after each atom.
Fractional positions:
Au1 0.0000 0.0000 0.0000  4 Ir 2.90, 4 Au 2.90
Au2 0.7500 0.7500 0.7500  4 Pb 2.90, 4 Au 2.90
Pb1 0.5000 0.5000 0.5000  4 Au 2.90, 4 Ir 2.90
Ir1 0.2500 0.2500 0.2500  4 Au 2.90, 4 Pb 2.90


Here is crystalline IrPdAu2 at its relaxed geometry from OQMD. Energies are from PBE.

Summary:
The calculated volume is 66 Å³/f.u. The total magnetization comes out at 0.01 μB/f.u. The calculation puts the final energy at -0.1759 Ha/atom. Its crystal system is cubic.

a = 4.5382 Å, b = 4.5382 Å, c = 4.5382 Å
α = 60.00°, β = 60.00°, γ = 60.00°
With the nearest neighbours (Å) after each atom.
Fractional positions:
Au1 0.0000 0.0000 0.0000  4 Ir 2.78, 4 Au 2.78
Au2 0.7500 0.7500 0.7500  4 Au 2.78, 4 Pd 2.78
Pd1 0.5000 0.5000 0.5000  4 Ir 2.78, 4 Au 2.78
Ir1 0.2500 0.2500 0.2500  4 Pd 2.78, 4 Au 2.78


Here is crystalline IrPd2Au at its relaxed geometry from OQMD. Energies are from PBE.

Summary:
The calculated volume is 63 Å³/f.u. The total magnetization comes out at 0.41 μB/f.u. The calculation puts the final energy at -0.1951 Ha/atom. Its crystal system is cubic.

a = 4.4716 Å, b = 4.4716 Å, c = 4.4716 Å
α = 60.00°, β = 60.00°, γ = 60.00°
With the nearest neighbours (Å) after each atom.
Fractional positions:
Ir1 0.2500 0.2500 0.2500  4 Au 2.74, 4 Pd 2.74
Au1 0.5000 0.5000 0.5000  4 Pd 2.74, 4 Ir 2.74
Pd1 0.0000 0.0000 0.0000  4 Pd 2.74, 4 Ir 2.74
Pd2 0.7500 0.7500 0.7500  4 Au 2.74, 4 Pd 2.74


Here is crystalline Pm5Ir2Au at its relaxed geometry from OQMD. Energies are from PBE.

Summary:
The calculated volume is 212 Å³/f.u. The total magnetization comes out at 0.01 μB/f.u. The calculation puts the final energy at -0.2298 Ha/atom. Its crystal system is tetragonal.

a = 8.7961 Å, b = 8.7961 Å, c = 8.7961 Å
α = 126.71°, β = 126.71°, γ = 78.72°
With the nearest neighbours (Å) after each atom.
Fractional positions:
Pm1 0.1998 0.6998 0.1723  3 Ir 2.90-3.01
Pm2 0.3002 0.4725 0.5000  3 Ir 2.90-3.01
Pm3 0.5000 0.5000 0.0000  4 Ir 3.07, 2 Au 3.40
Pm4 0.6998 0.5275 0.5000  3 Ir 2.90-3.01
Pm5 0.5275 0.0275 0.8277  3 Ir 2.90-3.01
Pm6 0.0275 0.1998 0.5000  3 Ir 2.90-3.01
Pm7 0.4725 0.9725 0.1723  3 Ir 2.90-3.01
Pm8 0.9725 0.8002 0.5000  3 Ir 2.90-3.01
Pm9 0.8002 0.3002 0.8277  3 Ir 2.90-3.01
Pm10 0.0000 0.0000 0.0000  4 Ir 3.07, 2 Au 3.40
Ir1 0.1359 0.6359 0.7718  8 Pm 2.90-3.07, 1 Ir 3.03
Ir2 0.6359 0.8641 0.5000  8 Pm 2.90-3.07, 1 Ir 3.03
Ir3 0.8641 0.3641 0.2282  8 Pm 2.90-3.07, 1 Ir 3.03
Ir4 0.3641 0.1359 0.5000  8 Pm 2.90-3.07, 1 Ir 3.03
Au1 0.7500 0.7500 0.0000  10 Pm 3.33-3.40
Au2 0.2500 0.2500 0.0000  10 Pm 3.33-3.40


Here is crystalline PmIrAu at its relaxed geometry from OQMD. Energies are from PBE.

Summary:
The calculated volume is 75 Å³/f.u. The total magnetization comes out at 0.01 μB/f.u. The calculation puts the final energy at -0.2022 Ha/atom. The energy above the lowest structure with this stoichiometry is 0.392 eV/atom. Its crystal system is cubic.

a = 4.7281 Å, b = 4.7281 Å, c = 4.7281 Å
α = 60.00°, β = 60.00°, γ = 60.00°
With the nearest neighbours (Å) after each atom.
Fractional positions:
Ir1 0.7500 0.7500 0.7500  4 Pm 2.90
Au1 0.2500 0.2500 0.2500  4 Pm 2.90
Pm1 0.0000 0.0000 0.0000  4 Au 2.90, 4 Ir 2.90


Q: The highest total magnetization belongs to which entry?
A: TlIrAuO3